1.
VASP calculation (meta-GGA SCAN) on a crystal of Ta3AlCr8 relaxed with PBEsol.

```
12
Lattice="4.804 0.000 0.000 -2.402 4.160 0.000 0.000 0.000 7.903" Properties=species:S:1:pos:R:3 pbc="T T T"
Cr 0.000 2.774 3.960
Cr 0.000 2.774 0.004
Cr -1.218 3.477 1.990
Cr 0.000 1.367 1.990
Cr 1.218 3.477 1.990
Cr 1.229 2.064 5.915
Cr 2.402 0.032 5.915
Cr 3.575 2.064 5.915
Al 2.402 1.387 3.446
Ta 0.000 0.000 4.413
Ta 0.000 0.000 7.421
Ta 2.402 1.387 0.506
```

Values from the calculation:
- M_tot: 0.00 μB per atom
- Energy of formation from the pure elements: -86.2 meV per atom
- N(E_F): 6.8 states/eV per cell


2.
VASP calculation (meta-GGA SCAN) on a crystal of Cu2AsPt relaxed with PBEsol.

```
4
Lattice="3.239 0.000 0.000 0.000 3.239 0.000 0.000 0.000 5.242" Properties=species:S:1:pos:R:3 pbc="T T T"
As 1.619 1.619 3.903
Cu 0.000 0.000 0.100
Cu 1.619 1.619 1.211
Pt 0.000 0.000 2.648
```

Values from the calculation:
- M_tot: 0.00 μB per atom
- Energy of formation from the pure elements: -66.8 meV per atom
- N(E_F): 1.6 states/eV per cell


3.
VASP calculation (meta-GGA SCAN) on a crystal of ZrAl3Ni2 relaxed with PBEsol.

```
6
Lattice="-3.581 -1.126 -0.786 -0.624 -0.752 3.921 -2.109 4.840 2.675" Properties=species:S:1:pos:R:3 pbc="T T T"
Al -0.961 1.507 2.218
Al -1.773 2.581 4.377
Al -2.103 -0.939 1.567
Ni -3.290 2.507 2.039
Ni -3.025 0.455 3.770
Zr 0.000 0.000 0.000
```

Values from the calculation:
- Polymorph energy (0 for the lowest one): 239 meV per atom
- M_tot: 0.00 μB per atom
- Energy of formation from the pure elements: -429.4 meV per atom
- N(E_F): 3.5 states/eV per cell


4.
VASP calculation (meta-GGA SCAN) on a crystal of MnBiF2 relaxed with PBEsol.

```
4
Lattice="3.277 0.000 0.000 1.638 2.838 0.000 1.638 0.946 8.919" Properties=species:S:1:pos:R:3 pbc="T T T"
Mn 3.277 1.892 4.460
Bi 0.000 0.000 0.000
F 4.915 2.838 3.498
F 1.638 0.946 5.421
```

Values from the calculation:
- Energy relative to the elements, uncorrected: -1.910 eV/atom
- M_tot: 1.25 μB per atom
- N(E_F): 1.2 states/eV per cell


5.
VASP calculation (meta-GGA SCAN) on a crystal of Y2AlSi relaxed with PBEsol.

```
4
Lattice="3.661 0.000 0.000 0.000 3.661 0.000 0.000 0.000 6.487" Properties=species:S:1:pos:R:3 pbc="T T T"
Y 0.000 0.000 4.777
Y 0.000 0.000 1.710
Si 1.831 1.831 3.243
Al 1.831 1.831 0.000
```

Values from the calculation:
- Energy relative to the elements, uncorrected: -0.445 eV/atom
- M_tot: 0.00 μB per atom
- N(E_F): 3.1 states/eV per cell


6.
VASP calculation (meta-GGA SCAN) on a crystal of ErMn4Cu3O12 relaxed with PBEsol.

```
20
Lattice="6.200 0.000 0.000 -2.067 5.845 0.000 -2.067 -2.923 5.062" Properties=species:S:1:pos:R:3 pbc="T T T"
Er 0.000 0.000 0.000
Mn 3.100 0.000 0.000
Mn 1.033 1.461 2.531
Mn -1.033 -1.461 2.531
Mn -1.033 2.923 0.000
Cu 2.067 2.923 0.000
Cu 2.067 -1.461 2.531
Cu -2.067 1.461 2.531
O -2.176 1.538 4.450
O 4.242 1.384 0.612
O 2.566 2.569 2.665
O -0.500 0.353 2.398
O -0.109 -1.701 4.170
O 2.176 4.623 0.893
O 0.500 2.253 0.893
O 1.567 0.670 4.170
O 1.958 0.162 1.505
O 0.109 2.761 3.557
O 3.634 -1.023 3.557
O -1.567 3.946 1.505
```

Values from the calculation:
- Energy relative to the elements, uncorrected: -2.007 eV/atom
- M_tot: 0.50 μB per atom
- N(E_F): 3.8 states/eV per cell


7.
VASP calculation (meta-GGA SCAN) on a crystal of KOsPt2 relaxed with PBEsol.

```
4
Lattice="-2.913 0.941 1.842 2.341 -1.254 4.342 1.795 4.157 -2.750" Properties=species:S:1:pos:R:3 pbc="T T T"
K -1.457 0.471 0.921
Os 1.170 -0.627 2.171
Pt 0.322 1.457 3.230
Pt 0.900 2.387 0.204
```

Values from the calculation:
- Polymorph energy (0 for the lowest one): 504 meV per atom
- M_tot: 0.53 μB per atom
- Energy of formation from the pure elements: 921.0 meV per atom
- N(E_F): 3.3 states/eV per cell


8.
VASP calculation (meta-GGA SCAN) on a crystal of Pr2InAg relaxed with PBEsol.

```
4
Lattice="5.353 0.000 0.000 2.676 4.636 0.000 2.676 1.545 4.371" Properties=species:S:1:pos:R:3 pbc="T T T"
Pr 2.676 1.545 1.093
Pr 8.029 4.636 3.278
Ag 0.000 0.000 0.000
In 5.353 3.091 2.185
```

Values from the calculation:
- Polymorph energy (0 for the lowest one): 0 meV per atom
- M_tot: 0.12 μB per atom
- Energy of formation from the pure elements: -478.0 meV per atom
- N(E_F): 3.6 states/eV per cell